P.
First-principles (PBE) data for an optimized crystal structure of TeOs2, as listed in Alexandria.

Calculated values
As for the density of states at the Fermi level: 10.07 states/eV/cell.

Geometry as POSCAR:
```
TeOs2
1.0
13.171 -0.007 0.000
11.973 5.488 0.000
-12.572 -2.741 2.812
Te Os
4 8
Cartesian
23.265 5.072 0.000
1.879 0.410 0.000
4.107 2.334 1.406
7.866 3.154 1.406
18.815 4.101 0.000
6.329 1.380 0.000
12.828 1.358 1.406
0.343 -1.364 1.406
14.535 3.169 0.000
10.609 2.313 0.000
8.549 0.425 1.406
4.622 -0.431 1.406
```

***

Q.
First-principles (PBE) data for an optimized crystal structure of TeOs2, as listed in Alexandria.

Calculated values
As for the density of states at the Fermi level: 3.15 states/eV/cell.

Geometry as POSCAR:
```
TeOs2
1.0
2.245 -3.888 0.000
2.245 3.888 0.000
0.000 0.000 5.709
Te Os
2 4
Cartesian
2.245 -1.296 1.427
2.245 1.296 4.281
0.000 0.000 0.000
0.000 0.000 2.854
2.245 1.296 1.427
2.245 -1.296 4.281
```

***

R.
First-principles (PBE) data for an optimized crystal structure of TeOs2, as listed in Alexandria.

Calculated values
As for the density of states at the Fermi level: 2.27 states/eV/cell.

Geometry as POSCAR:
```
TeOs2
1.0
-1.311 2.246 1.514
-1.297 -2.714 -0.089
3.250 -1.730 5.381
Os Te
2 1
Cartesian
0.819 -0.539 4.498
-0.177 -1.659 2.309
0.000 0.000 0.000
```

***

S.
First-principles (PBE) data for an optimized crystal structure of TeOs2, as listed in Alexandria.

Calculated values
As for the density of states at the Fermi level: 3.59 states/eV/cell.

Geometry as POSCAR:
```
TeOs2
1.0
-1.923 -2.363 -2.052
1.738 -2.809 1.606
-3.131 -0.157 3.113
Os Te
2 1
Cartesian
-0.696 -1.483 2.360
-2.527 -1.260 0.531
0.000 0.000 0.000
```

***

Stability summary: most stable R, least stable S.

***

P.
First-principles (PBE) data for an optimized crystal structure of TeOs2, as listed in Alexandria.

Calculated values
As for the density of states at the Fermi level: 3.26 states/eV/cell.

Geometry as POSCAR:
```
TeOs2
1.0
-0.465 3.820 1.872
-3.777 2.006 -0.141
-2.360 0.369 3.550
Os Te
2 1
Cartesian
-4.952 4.646 3.961
-1.651 1.549 1.320
0.000 0.000 0.000
```

***

Q.
First-principles (PBE) data for an optimized crystal structure of TeOs2, as listed in Alexandria.

Calculated values
As for the density of states at the Fermi level: 4.56 states/eV/cell.

Geometry as POSCAR:
```
TeOs2
1.0
2.049 -5.819 0.000
2.049 5.819 0.000
0.000 0.000 4.335
Te Os
2 4
Cartesian
2.049 4.602 1.084
2.049 -4.602 3.251
2.049 0.747 1.084
2.049 -0.747 3.251
2.049 -3.226 1.084
2.049 3.226 3.251
```

***

Stability summary: most stable Q, least stable P.

***

P.
First-principles (PBE) data for an optimized crystal structure of Te5Os, as listed in Alexandria.

Calculated values
As for the density of states at the Fermi level: 4.41 states/eV/cell.

Geometry as POSCAR:
```
Te5Os
1.0
3.104 0.000 0.000
0.000 3.104 0.000
0.000 0.000 18.964
Te Os
5 1
Cartesian
0.000 0.000 17.177
0.000 0.000 1.786
1.552 1.552 13.695
1.552 1.552 5.269
0.000 0.000 9.482
1.552 1.552 0.000
```

***

Q.
First-principles (PBE) data for an optimized crystal structure of Te5Os, as listed in Alexandria.

Calculated values
As for the density of states at the Fermi level: 3.27 states/eV/cell.

Geometry as POSCAR:
```
Te5Os
1.0
-7.124 -0.495 -1.051
-5.533 -1.041 -4.517
-3.346 -7.290 -0.387
Te Os
5 1
Cartesian
-4.725 -1.111 -1.994
-11.438 -7.975 -3.994
-9.049 -5.839 -3.234
-13.470 -3.748 -5.593
-5.515 -4.256 -1.861
-3.378 -6.935 -0.457
```

***

R.
First-principles (PBE) data for an optimized crystal structure of Te5Os, as listed in Alexandria.

Calculated values
As for the density of states at the Fermi level: 4.24 states/eV/cell.

Geometry as POSCAR:
```
Te5Os
1.0
-5.324 5.036 -1.310
2.656 -5.438 4.336
3.021 4.026 3.199
Te Os
5 1
Cartesian
-0.819 -0.877 1.877
-2.737 1.640 0.520
1.073 0.636 3.746
-1.603 4.149 1.853
3.723 -2.841 5.621
2.213 -4.856 4.022
```

***

S.
First-principles (PBE) data for an optimized crystal structure of Te5Os, as listed in Alexandria.

Calculated values
As for the density of states at the Fermi level: 4.17 states/eV/cell.

Geometry as POSCAR:
```
Te5Os
1.0
2.431 -6.441 0.000
2.431 6.441 0.000
0.000 0.000 5.062
Te Os
5 1
Cartesian
2.431 1.749 2.531
2.431 4.736 0.000
0.000 0.000 2.531
2.431 -4.736 0.000
2.431 -1.749 2.531
2.431 0.000 0.000
```

***

Stability summary: most stable Q, least stable S.

***

P.
First-principles (PBE) data for an optimized crystal structure of TiTe2Os, as listed in Alexandria.

Calculated values
As for the density of states at the Fermi level: 2.61 states/eV/cell.

Geometry as POSCAR:
```
TiTe2Os
1.0
1.898 0.000 8.992
-0.949 1.644 8.992
-0.949 -1.644 8.992
Te Os Ti
2 1 1
Cartesian
0.000 0.000 24.444
0.000 0.000 2.532
0.000 0.000 0.000
0.000 0.000 13.488
```

***

Q.
First-principles (PBE) data for an optimized crystal structure of TiTe2Os, as listed in Alexandria.

Calculated values
As for the density of states at the Fermi level: 6.43 states/eV/cell.

Geometry as POSCAR:
```
TiTe2Os
1.0
0.000 3.356 3.356
3.356 0.000 3.356
3.356 3.356 0.000
Te Os Ti
2 1 1
Cartesian
1.678 1.678 1.678
5.034 5.034 5.034
3.356 3.356 3.356
0.000 0.000 0.000
```

***

R.
First-principles (PBE) data for an optimized crystal structure of TiTe2Os, as listed in Alexandria.

Calculated values
As for the density of states at the Fermi level: 9.46 states/eV/cell.

Geometry as POSCAR:
```
TiTe2Os
1.0
-0.599 -5.783 1.907
-0.538 -1.858 -5.805
5.366 -4.540 -2.269
Te Os Ti
4 2 2
Cartesian
0.889 -5.094 -0.064
0.942 -2.907 -3.994
3.609 -6.235 -3.051
3.019 -10.128 -5.225
0.000 0.000 0.000
2.100 -7.072 -1.155
-0.568 -3.821 -1.949
2.130 -5.110 -5.011
```

***

Stability summary: most stable Q, least stable R.

***

P.
First-principles (PBE) data for an optimized crystal structure of TiTeOs3, as listed in Alexandria.

Calculated values
As for the density of states at the Fermi level: 8.96 states/eV/cell.

Geometry as POSCAR:
```
TiTeOs3
1.0
-0.732 4.685 -0.364
-3.543 -0.308 3.157
3.086 0.757 3.538
Te Os Ti
1 3 1
Cartesian
0.000 0.000 0.000
-1.772 -0.154 1.578
1.543 0.379 1.769
-0.366 2.342 -0.182
-0.594 2.567 3.165
```

***

Q.
First-principles (PBE) data for an optimized crystal structure of TiTeOs3, as listed in Alexandria.

Calculated values
As for the density of states at the Fermi level: 3.39 states/eV/cell.

Geometry as POSCAR:
```
TiTeOs3
1.0
4.610 0.000 0.000
0.000 4.610 0.000
0.000 0.000 4.610
Te Os Ti
1 3 1
Cartesian
2.305 2.305 2.305
0.000 2.305 0.000
0.000 0.000 2.305
2.305 0.000 0.000
0.000 0.000 0.000
```

***

Stability summary: most stable Q, least stable P.

***

P.
First-principles (PBE) data for an optimized crystal structure of Ti2TeOs2, as listed in Alexandria.

Calculated values
As for the density of states at the Fermi level: 2.91 states/eV/cell.

Geometry as POSCAR:
```
Ti2TeOs2
1.0
-4.167 -0.252 0.212
-0.185 -0.440 -4.153
-1.822 -5.732 -1.415
Te Os Ti
1 2 2
Cartesian
0.000 0.000 0.000
-2.093 -1.612 -1.840
-4.081 -4.812 -3.516
-4.082 -3.165 -1.586
-2.091 -3.259 -3.769
```

***

Q.
First-principles (PBE) data for an optimized crystal structure of Ti2TeOs2, as listed in Alexandria.

Calculated values
As for the density of states at the Fermi level: 8.67 states/eV/cell.

Geometry as POSCAR:
```
Ti2TeOs2
1.0
-4.441 -4.505 4.046
-3.776 -1.862 -6.218
1.920 -2.317 -0.472
Te Os Ti
2 4 4
Cartesian
0.000 0.000 0.000
-4.109 -3.183 -1.086
-4.872 -3.242 -3.898
-6.239 -5.074 -0.468
-3.346 -3.124 1.726
-1.979 -1.293 -1.704
-2.160 -3.044 -3.671
-5.137 -5.669 -2.892
-4.137 -5.640 1.027
-1.161 -3.015 0.248
```

***

Stability summary: most stable Q, least stable P.